VASP calculation (GGA+U) on an optimized crystal structure of Li2FeO2F.

Cell lengths 5.1507, 5.1507, 9.7780 Å; angles 94.72, 94.72, 119.55 degrees
Closest atoms and distances in Å follow each position.
Fractional coordinates of all 24 atoms:
Li 0.0000 0.5000 0.0000  4 O 2.07-2.27, 2 F 2.11
Li 0.1295 0.3150 0.5035  4 O 2.01-2.25, 2 F 2.12-2.25
Li 0.2382 0.7618 0.7500  4 O 2.04-2.19, 2 F 2.16
Li 0.3150 0.1295 0.0035  4 O 2.01-2.25, 2 F 2.12-2.25
Li 0.5000 0.0000 0.5000  4 O 2.07-2.27, 2 F 2.11
Li 0.6850 0.8705 0.9965  4 O 2.01-2.25, 2 F 2.12-2.25
Li 0.7618 0.2382 0.2500  4 O 2.04-2.19, 2 F 2.16
Li 0.8705 0.6850 0.4965  4 O 2.01-2.25, 2 F 2.12-2.25
Fe 0.0836 0.9164 0.2500  4 O 1.92-1.97
Fe 0.4029 0.5971 0.2500  4 O 1.95-2.02, 2 F 2.17
Fe 0.5971 0.4029 0.7500  4 O 1.95-2.02, 2 F 2.17
Fe 0.9164 0.0836 0.7500  4 O 1.92-1.97
O 0.0699 0.2060 0.1416  2 Fe 1.92-2.02, 2 Li 2.04-2.06
O 0.1403 0.6507 0.3671  2 Fe 1.95-1.97, 2 Li 2.01-2.07
O 0.2060 0.0699 0.6416  2 Fe 1.92-2.02, 2 Li 2.04-2.06
O 0.3493 0.8597 0.1329  2 Fe 1.95-1.97, 2 Li 2.01-2.07
O 0.6507 0.1403 0.8671  2 Fe 1.95-1.97, 2 Li 2.01-2.07
O 0.7940 0.9301 0.3584  2 Fe 1.92-2.02, 2 Li 2.04-2.06
O 0.8597 0.3493 0.6329  2 Fe 1.95-1.97, 2 Li 2.01-2.07
O 0.9301 0.7940 0.8584  2 Fe 1.92-2.02, 2 Li 2.04-2.06
F 0.3128 0.4786 0.8797  4 Li 2.11-2.25, 2 Fe 2.17-2.23
F 0.4786 0.3128 0.3797  4 Li 2.11-2.25, 2 Fe 2.17-2.23
F 0.5214 0.6872 0.6203  4 Li 2.11-2.25, 2 Fe 2.17-2.23
F 0.6872 0.5214 0.1203  4 Li 2.11-2.25, 2 Fe 2.17-2.23

Output
* ΔE to the lowest computed polymorph: 147 meV/atom